{"formula": "Fe2NiH3", "functional": "PBE", "state": "optimized geometry", "lattice": [[7.6391, 0.0000, 0.0000], [0.0000, 2.6959, 0.0000], [0.0000, 0.0000, 8.1905]], "species": ["Fe", "Fe", "Fe", "Fe", "Fe", "Fe", "Fe", "Fe", "Ni", "Ni", "Ni", "Ni", "H", "H", "H", "H", "H", "H", "H", "H", "H", "H", "H", "H"], "fractional_positions": [[0.1189, 0.2500, 0.0894], [0.1197, 0.2500, 0.7642], [0.3803, 0.7500, 0.2642], [0.3811, 0.7500, 0.5894], [0.6189, 0.2500, 0.4106], [0.6197, 0.2500, 0.7358], [0.8803, 0.7500, 0.2358], [0.8811, 0.7500, 0.9106], [0.1335, 0.2500, 0.4119], [0.3665, 0.7500, 0.9119], [0.6335, 0.2500, 0.0881], [0.8665, 0.7500, 0.5881], [0.0098, 0.7500, 0.4091], [0.1133, 0.7500, 0.9016], [0.2442, 0.2500, 0.5971], [0.2558, 0.7500, 0.0971], [0.3867, 0.2500, 0.4016], [0.4902, 0.2500, 0.9091], [0.5098, 0.7500, 0.0909], [0.6133, 0.7500, 0.5984], [0.7442, 0.2500, 0.9029], [0.7558, 0.7500, 0.4029], [0.8867, 0.2500, 0.0984], [0.9902, 0.2500, 0.5909]], "sg": "Pnma, No. 62", "rho_g_cm3": 6.828, "e_tot_ev_per_cell": -129.68}

{"formula": "Fe2NiH", "functional": "PBE", "state": "optimized geometry", "lattice": [[-1.2741, 1.2741, 5.7517], [1.2741, -1.2741, 5.7517], [1.2741, 1.2741, -5.7517]], "species": ["Fe", "Fe", "Ni", "H"], "fractional_positions": [[0.1529, 0.1529, 0.0000], [0.8471, 0.8471, 0.0000], [0.5000, 0.5000, 0.0000], [0.2500, 0.7500, 0.5000]], "sg": "I-4m2, No. 119", "rho_g_cm3": 7.620, "e_tot_ev_per_cell": -26.00, "relative_energy_ev_per_atom": 0.028}

{"formula": "FeNiH", "functional": "PBE", "state": "optimized geometry", "lattice": [[3.0291, -3.1904, 0.0000], [3.0291, 3.1904, 0.0000], [0.0000, 0.0000, 2.5859]], "species": ["Fe", "Fe", "Ni", "Ni", "H", "H"], "fractional_positions": [[0.2070, 0.7930, 0.0000], [0.7930, 0.2070, 0.0000], [0.2959, 0.2959, 0.5000], [0.7041, 0.7041, 0.5000], [0.0000, 0.0000, 0.5000], [0.5000, 0.5000, 0.0000]], "sg": "Cmmm, No. 65", "rho_g_cm3": 7.678, "e_tot_ev_per_cell": -35.10}

{"formula": "FeNiH2", "functional": "PBE", "state": "optimized geometry", "lattice": [[1.2943, 0.7473, 4.6695], [-1.2943, 0.7473, 4.6695], [0.0000, -1.4946, 4.6695]], "species": ["Fe", "Ni", "H", "H"], "fractional_positions": [[0.0000, 0.0000, 0.0000], [0.1765, 0.1765, 0.1765], [0.4130, 0.4130, 0.4130], [0.5877, 0.5877, 0.5877]], "sg": "R3m, No. 160", "rho_g_cm3": 7.142, "e_tot_ev_per_cell": -20.73}

{"formula": "Fe5NiH6", "functional": "PBE", "state": "optimized geometry", "lattice": [[2.3018, -4.0002, 0.0000], [2.3018, 4.0002, 0.0000], [-1.5530, 0.0000, 4.3235]], "species": ["Fe", "Fe", "Fe", "Fe", "Fe", "Ni", "H", "H", "H", "H", "H", "H"], "fractional_positions": [[0.0000, 0.0000, 0.0000], [0.1671, 0.8329, 0.5000], [0.3328, 0.6672, 0.0000], [0.6672, 0.3328, 0.0000], [0.8329, 0.1671, 0.5000], [0.5000, 0.5000, 0.5000], [0.0780, 0.4174, 0.2495], [0.2442, 0.2442, 0.7522], [0.4174, 0.0780, 0.2495], [0.5826, 0.9220, 0.7505], [0.7558, 0.7558, 0.2478], [0.9220, 0.5826, 0.7505]], "sg": "C2/m, No. 12", "rho_g_cm3": 7.174, "e_tot_ev_per_cell": -68.39}

{"formula": "FeNiH", "functional": "PBE", "state": "optimized geometry", "lattice": [[2.5940, 0.0000, 0.0000], [-1.2970, 2.2465, 0.0000], [0.0000, 0.0000, 4.2138]], "species": ["Fe", "Ni", "H"], "fractional_positions": [[0.0000, 0.0000, 0.0000], [0.3333, 0.6667, 0.5197], [0.6667, 0.3333, 0.2647]], "sg": "P3m1, No. 156", "rho_g_cm3": 7.814, "e_tot_ev_per_cell": -17.68}